YCdAsO: optimized geometry, PBE-GGA.

Properties
Total energy (eV for the cell shown): -45.636
Crystal system: orthorhombic

Unit cell a=4.5108 b=6.1457 c=6.1236 alpha=90.00 beta=90.00 gamma=90.00
Last column: nearest neighbours and their distance in Å.
Element x y z (fractional)
Y: 0.0000 0.2382 0.0000  2 O 2.27
Y: 0.0000 0.7618 0.5000  2 O 2.27
Cd: 0.5000 0.3612 0.6264  2 O 2.31-2.34, 2 As 2.56
Cd: 0.5000 0.6388 0.1264  2 O 2.31-2.34, 2 As 2.56
As: 0.0000 0.2349 0.4757  2 Cd 2.56
As: 0.0000 0.7651 0.9757  2 Cd 2.56
O: 0.5000 0.2816 0.9953  2 Y 2.27, 2 Cd 2.31-2.34
O: 0.5000 0.7184 0.4953  2 Y 2.27, 2 Cd 2.31-2.34